This record from the Alexandria database describes an optimized crystal structure of LiGaRePdRu. The functional is PBE.

a = 3.8439 Å, b = 4.5092 Å, c = 4.9446 Å
α = 77.13°, β = 67.15°, γ = 64.77°
Closest atoms and distances in Å follow each position.
Element x y z (fractional)
Li: 0.4209 0.0451 0.2820  3 Pd 2.54-2.65, 3 Ga 2.57-2.71, 1 Ru 2.58, 1 Re 2.64
Ga: 0.0197 0.6645 0.4650  3 Li 2.57-2.71, 2 Pd 2.66, 2 Ru 2.71-2.72, 3 Re 2.74-2.76
Re: 0.5980 0.2534 0.7206  3 Ru 2.53-2.57, 1 Li 2.64, 3 Pd 2.71-2.82, 3 Ga 2.74-2.76
Pd: 0.8030 0.4275 0.1352  3 Li 2.54-2.65, 2 Ga 2.66, 3 Re 2.71-2.82, 1 Ru 2.76
Ru: 0.2358 0.8607 0.8359  3 Re 2.53-2.57, 1 Li 2.58, 2 Ga 2.71-2.72, 1 Pd 2.76

Output
The polymorph energy (0 for the lowest one) is 0.096 eV per atom. The calculation puts the formation energy at -0.056 eV/atom. As for the symmetry: Cm (8). The calculation puts the calculated total energy at -6.427 eV/atom.